[1]
The following is a PBE calculation of La2Al9Rh3 after structural relaxation, from Alexandria via LeMat-Bulk.

Final energy (hartree per atom): -0.2015
Energy above the lowest structure with this stoichiometry (kJ/mol of atoms): 0.00

a b c (Å): 13.2105 7.7693 9.6666
angles (deg): 90.00 90.00 90.00
Space group Cmcm (No. 63)
Unique sites:
La 0.1616 0.1659 0.2500 [8 per cell]
Al 0.0000 0.1342 0.7500 [4 per cell]
Al 0.0000 0.3345 0.0415 [8 per cell]
Al 0.1032 0.4440 0.7500 [8 per cell]
Al 0.1661 0.1704 0.5738 [16 per cell]
Rh 0.0000 0.0000 0.0000 [4 per cell]
Rh 0.1706 0.5000 0.0000 [8 per cell]

[2]
The following is a PBE calculation of LaAl2Rh after structural relaxation, from Alexandria via LeMat-Bulk.

Final energy (hartree per atom): -0.1974

a b c (Å): 4.6663 5.2409 6.7434
angles (deg): 90.00 90.00 90.00
Space group Imm2 (No. 44)
Unique sites:
La 0.0000 0.0000 0.0000 [2 per cell]
Al 0.0000 0.0000 0.5178 [2 per cell]
Al 0.0000 0.5000 0.7900 [2 per cell]
Rh 0.0000 0.5000 0.1881 [2 per cell]

[3]
The following is a PBE calculation of LaAlRh after structural relaxation, from Alexandria via LeMat-Bulk.

Final energy (hartree per atom): -0.2194

a b c (Å): 3.2061 3.2855 11.6849
angles (deg): 90.00 90.00 90.00
Space group Imm2 (No. 44)
Unique sites:
La 0.0000 0.0000 0.0000 [2 per cell]
Al 0.0000 0.0000 0.7168 [2 per cell]
Rh 0.0000 0.0000 0.3151 [2 per cell]

E_form (meV/atom)
-798.8, -431.1, -629.4